1.
4
Lattice="-1.821 0.785 -1.531 -2.297 -1.676 1.873 -0.648 4.100 2.873" Properties=species:S:1:pos:R:3 comment="LiCrFe2 | Alexandria via LeMat-Bulk | PBEsol | optimized geometry" space_group="No. 47" delta_e_f_mev_per_atom=343 magnetic_moment_mub_per_atom=0.470 pbc="T T T"
Cr -2.383 1.605 1.608
Fe -0.486 3.073 2.153
Fe -0.162 1.027 0.720
Li -2.059 -0.445 0.171

2.
10
Lattice="-1.437 2.048 3.447 -3.345 -7.498 3.061 7.540 -1.674 4.139" Properties=species:S:1:pos:R:3 comment="Ba2Si2Br | Alexandria via LeMat-Bulk | PBEsol | optimized geometry" space_group="No. 127" e_form_raw_ev_per_atom=-0.670 magnetic_moment_mub_per_atom=0.000 pbc="T T T"
Si 5.496 -4.612 5.032
Si 1.388 -7.820 5.225
Si -1.301 -4.561 2.168
Si 2.806 -1.353 1.974
Ba 3.873 -1.609 5.203
Ba 3.017 -5.540 7.181
Ba -1.115 -5.515 5.444
Ba -0.260 -1.585 3.465
Br 0.000 0.000 0.000
Br 2.097 -4.586 3.600

3.
4
Lattice="-0.890 5.456 -0.751 -2.972 1.764 -4.379 -5.101 2.126 0.765" Properties=species:S:1:pos:R:3 comment="KTl2Sb | Alexandria via LeMat-Bulk | PBEsol | optimized geometry" space_group="No. 216" e_form_raw_ev_per_atom=-0.101 magnetic_moment_mub_per_atom=0.000 pbc="T T T"
K -4.481 4.673 -2.183
Sb -2.241 2.337 -1.091
Tl 0.000 0.000 0.000
Tl -6.722 7.010 -3.274

4.
4
Lattice="2.710 0.000 0.000 1.355 2.347 0.000 1.355 0.782 8.647" Properties=species:S:1:pos:R:3 comment="NiIrPt2 | Alexandria via LeMat-Bulk | PBEsol | optimized geometry" space_group="No. 160" delta_e_f_mev_per_atom=9 magnetic_moment_mub_per_atom=0.000 pbc="T T T"
Ni 1.355 0.782 2.213
Ir 2.710 1.564 4.171
Pt 4.065 2.347 0.146
Pt 4.065 2.347 6.439

5.
4
Lattice="-1.830 -2.445 0.219 1.631 -0.134 -4.595 3.841 -1.129 2.786" Properties=species:S:1:pos:R:3 comment="CuTcCl2 | Alexandria via LeMat-Bulk | PBEsol | optimized geometry" space_group="No. 12" e_form_raw_ev_per_atom=0.435 magnetic_moment_mub_per_atom=0.591 pbc="T T T"
Tc 2.736 -0.631 -0.904
Cu 0.000 0.000 0.000
Cl 0.815 -0.067 -2.298
Cl 1.921 -0.564 1.393

6.
12
Lattice="-5.164 -0.123 5.134 0.547 -4.618 5.605 1.441 2.530 6.675" Properties=species:S:1:pos:R:3 comment="Eu2N | Alexandria via LeMat-Bulk | PBEsol | optimized geometry" space_group="No. 227" e_form_raw_ev_per_atom=-0.883 magnetic_moment_mub_per_atom=4.944 pbc="T T T"
Eu -3.577 -3.307 11.819
Eu -2.806 -1.954 15.389
Eu -3.925 -0.876 9.124
Eu -1.163 -0.810 6.378
Eu -0.392 0.543 9.949
Eu -0.871 -3.280 9.376
Eu -0.044 -1.888 12.643
Eu -3.099 0.516 12.391
N -0.397 -0.276 2.177
N 0.324 0.989 5.514
N -0.123 -2.585 4.979
N -2.979 -0.338 4.744

7.
8
Lattice="6.477 -0.049 0.000 -2.871 5.807 0.000 -1.803 -2.879 5.516" Properties=species:S:1:pos:R:3 comment="SrNiTe2 | Alexandria via LeMat-Bulk | PBEsol | optimized geometry" space_group="No. 122" e_form_raw_ev_per_atom=-0.798 magnetic_moment_mub_per_atom=0.000 pbc="T T T"
Sr -1.436 2.903 2.758
Sr 0.000 0.000 0.000
Te 1.844 3.856 2.274
Te 0.861 0.463 3.242
Te 3.279 0.952 0.484
Te -2.378 0.487 5.031
Ni 3.239 -0.024 2.758
Ni 1.803 2.879 0.000

8.
4
Lattice="-0.275 -3.154 -0.567 -0.457 -0.908 5.273 -5.684 1.222 -0.282" Properties=species:S:1:pos:R:3 comment="Li2LaSc | Alexandria via LeMat-Bulk | PBEsol | optimized geometry" space_group="No. 10" delta_e_f_mev_per_atom=202 magnetic_moment_mub_per_atom=0.000 pbc="T T T"
La -3.070 0.157 2.496
Li -4.628 -1.392 -0.641
Li -1.331 -0.540 -0.208
Sc -0.366 -2.031 2.353